# SmDy2Zn4

A relaxed structure of SmDy2Zn4 (PBE, Alexandria via LeMat-Bulk).

Geometry as POSCAR:
```
SmDy2Zn4
1.0
4.932 0.000 -1.572
-0.501 4.907 -1.572
-0.408 -0.452 7.243
Dy Zn Sm
2 4 1
Direct
0.724 0.724 0.448
0.276 0.276 0.552
0.612 0.112 0.225
0.112 0.612 0.225
0.888 0.388 0.775
0.388 0.888 0.775
0.000 0.000 0.000
```

ΔE_f in meV/atom: -147


# NdPuAlTl

A relaxed structure of NdPuAlTl (PBE, Alexandria via LeMat-Bulk).

Geometry as POSCAR:
```
NdPuAlTl
1.0
5.354 0.000 0.000
2.677 4.637 0.000
2.677 1.546 4.371
Al Tl Nd Pu
1 1 1 1
Direct
0.500 0.500 0.500
0.000 0.000 0.000
0.750 0.750 0.750
0.250 0.250 0.250
```

ΔE_f in meV/atom: -126


# Nd4ErIn2

A relaxed structure of Nd4ErIn2 (PBE, Alexandria via LeMat-Bulk).

Geometry as POSCAR:
```
Nd4ErIn2
1.0
8.590 0.000 -0.503
0.000 6.702 0.000
-3.836 0.000 7.834
Er Nd In
2 8 4
Direct
0.748 0.250 0.667
0.252 0.750 0.333
0.042 0.250 0.536
0.900 0.250 0.109
0.443 0.503 0.768
0.557 0.497 0.232
0.958 0.750 0.464
0.443 0.997 0.768
0.100 0.750 0.891
0.557 0.003 0.232
0.187 0.250 0.959
0.671 0.750 0.610
0.813 0.750 0.041
0.329 0.250 0.390
```

Distance to the lowest polymorph of the same formula in eV/atom: 0.000
ΔE_f in meV/atom: -178


# LaNd4Cd2

A relaxed structure of LaNd4Cd2 (PBE, Alexandria via LeMat-Bulk).

Geometry as POSCAR:
```
LaNd4Cd2
1.0
-6.357 5.188 2.818
-4.323 -4.929 -0.677
4.189 -4.497 5.991
Nd Cd La
8 4 2
Direct
0.415 0.512 0.763
0.585 0.488 0.237
0.968 0.750 0.441
0.032 0.250 0.559
0.929 0.250 0.136
0.585 0.012 0.237
0.071 0.750 0.864
0.415 0.988 0.763
0.215 0.250 0.990
0.341 0.250 0.402
0.785 0.750 0.010
0.659 0.750 0.598
0.249 0.750 0.287
0.751 0.250 0.713
```

ΔE_f in meV/atom: -70


# PmGa3Pd3

A relaxed structure of PmGa3Pd3 (PBE, Alexandria via LeMat-Bulk).

Geometry as POSCAR:
```
PmGa3Pd3
1.0
-7.662 0.413 -1.917
1.904 -0.297 -7.671
-0.473 -7.893 0.188
Pd Pm Ga
12 4 12
Direct
0.121 0.379 0.621
0.676 0.676 0.676
0.824 0.324 0.176
0.879 0.879 0.879
0.621 0.121 0.379
0.194 0.194 0.194
0.176 0.824 0.324
0.306 0.806 0.694
0.324 0.176 0.824
0.694 0.306 0.806
0.806 0.694 0.306
0.379 0.621 0.121
0.943 0.057 0.557
0.057 0.557 0.943
0.443 0.443 0.443
0.557 0.943 0.057
0.191 0.920 0.985
0.580 0.015 0.691
0.015 0.691 0.580
0.691 0.580 0.015
0.309 0.080 0.485
0.420 0.515 0.809
0.515 0.809 0.420
0.985 0.191 0.920
0.485 0.309 0.080
0.080 0.485 0.309
0.809 0.420 0.515
0.920 0.985 0.191
```

Distance to the lowest polymorph of the same formula in eV/atom: 0.000
ΔE_f in meV/atom: -712


# Be2ReP

A relaxed structure of Be2ReP (PBE, Alexandria via LeMat-Bulk).

Geometry as POSCAR:
```
Be2ReP
1.0
-2.159 0.997 1.268
0.285 -2.673 0.197
4.062 0.891 6.215
P Be Re
1 2 1
Direct
0.000 0.000 0.492
0.500 0.500 0.243
0.000 0.000 0.012
0.500 0.500 0.753
```

Distance to the lowest polymorph of the same formula in eV/atom: 0.640
ΔE_f in meV/atom: 489


# Cs2K4GaPb2

A relaxed structure of Cs2K4GaPb2 (PBE, Alexandria via LeMat-Bulk).

Geometry as POSCAR:
```
Cs2K4GaPb2
1.0
6.553 0.220 0.150
1.697 8.777 0.555
1.697 3.739 7.961
K Cs Pb Ga
4 2 2 1
Direct
0.796 0.907 0.344
0.204 0.656 0.093
0.204 0.093 0.656
0.796 0.344 0.907
0.718 0.359 0.359
0.282 0.641 0.641
0.268 0.171 0.171
0.732 0.829 0.829
0.500 0.000 0.000
```

ΔE_f in meV/atom: -83


# AcErCuNi

A relaxed structure of AcErCuNi (PBE, Alexandria via LeMat-Bulk).

Geometry as POSCAR:
```
AcErCuNi
1.0
5.062 0.000 0.000
2.531 4.383 0.000
2.531 1.461 4.133
Cu Ni Ac Er
1 1 1 1
Direct
0.250 0.250 0.250
0.750 0.750 0.750
0.000 0.000 0.000
0.500 0.500 0.500
```

ΔE_f in meV/atom: -161


# RbAgPt3

A relaxed structure of RbAgPt3 (PBE, Alexandria via LeMat-Bulk).

Geometry as POSCAR:
```
RbAgPt3
1.0
5.092 0.000 0.000
0.000 5.092 0.000
0.000 0.000 5.092
Pt Rb Ag
3 1 1
Direct
0.000 0.000 0.500
0.500 0.000 0.000
0.000 0.500 0.000
0.000 0.000 0.000
0.500 0.500 0.500
```

Distance to the lowest polymorph of the same formula in eV/atom: 1.153
ΔE_f in meV/atom: 2138


# LiFeBr2

A relaxed structure of LiFeBr2 (PBE, Alexandria via LeMat-Bulk).

Geometry as POSCAR:
```
LiFeBr2
1.0
-1.390 -7.836 -1.096
1.273 -7.768 1.604
-2.371 -7.250 2.520
Br Li Fe
2 1 1
Direct
0.899 0.899 0.899
0.101 0.101 0.101
0.500 0.500 0.500
0.000 0.000 0.000
```

Formation energy (no corrections) in kJ/mol of formula units: -170
Distance to the lowest polymorph of the same formula in eV/atom: 0.086


# NaTaOsAu2

A relaxed structure of NaTaOsAu2 (PBE, Alexandria via LeMat-Bulk).

Geometry as POSCAR:
```
NaTaOsAu2
1.0
-4.710 -1.473 1.750
-0.264 -3.232 -3.432
2.269 -3.522 3.142
Au Na Ta Os
2 1 1 1
Direct
0.000 0.000 0.500
0.500 0.000 0.000
0.500 0.500 0.500
0.000 0.000 0.000
0.000 0.500 0.000
```

ΔE_f in meV/atom: 952


# Pm2SmGe

A relaxed structure of Pm2SmGe (PBE, Alexandria via LeMat-Bulk).

Geometry as POSCAR:
```
Pm2SmGe
1.0
3.708 0.000 0.000
1.854 3.211 0.000
1.854 1.070 11.050
Ge Sm Pm
1 1 2
Direct
0.500 0.500 0.500
0.000 0.000 0.000
0.894 0.894 0.318
0.106 0.106 0.682
```

Distance to the lowest polymorph of the same formula in eV/atom: 0.306
ΔE_f in meV/atom: -37